Record 1
This record from Alexandria via LeMat-Bulk describes a geometry-optimized SrMn2Pb structure. The functional is GGA-PBE.

Lattice parameters (Å, degrees): 5.653 5.653 5.653 131.91 131.91 70.37
Last column: magnetic moment on the atom in μB.
Atoms (fractional coordinates):
Mn 0.000 0.000 0.000  3.91
Mn 0.250 0.750 0.500  3.81
Pb 0.500 0.500 0.000  -0.09
Sr 0.750 0.250 0.500  -0.05

The final energy comes out at -5.444 eV/atom. The value obtained for the spin magnetization is 1.98 μB/atom. The density of states at the Fermi level is 1.153 states/eV per atom. The space group is I-4m2, No. 119.

---

Record 2
This record from Alexandria via LeMat-Bulk describes a geometry-optimized SrMn4Pb structure. The functional is GGA-PBE.

Lattice parameters (Å, degrees): 5.622 5.622 5.622 60.00 60.00 60.00
Last column: magnetic moment on the atom in μB.
Atoms (fractional coordinates):
Sr 0.000 0.000 0.000  -0.02
Mn 0.878 0.374 0.374  3.68
Mn 0.374 0.374 0.878  3.68
Mn 0.374 0.878 0.374  3.68
Mn 0.374 0.374 0.374  3.68
Pb 0.750 0.750 0.750  -0.06

The final energy comes out at -6.510 eV/atom. The value obtained for the spin magnetization is 2.59 μB/atom. The density of states at the Fermi level is 0.981 states/eV per atom. The space group is F-43m, No. 216.

---

Record 3
This record from Alexandria via LeMat-Bulk describes a geometry-optimized SrMn2Pb structure. The functional is GGA-PBE.

Lattice parameters (Å, degrees): 6.174 6.174 6.174 147.27 128.98 61.95
Last column: magnetic moment on the atom in μB.
Atoms (fractional coordinates):
Mn 0.961 0.961 0.000  3.83
Mn 0.757 0.257 0.500  3.56
Pb 0.532 0.532 0.000  -0.05
Sr 0.251 0.751 0.500  -0.07

The final energy comes out at -5.444 eV/atom. The value obtained for the spin magnetization is 1.88 μB/atom. The density of states at the Fermi level is 1.133 states/eV per atom. The space group is Imm2, No. 44.

---

Record 4
This record from Alexandria via LeMat-Bulk describes a geometry-optimized SrMn2Pb structure. The functional is GGA-PBE.

Lattice parameters (Å, degrees): 3.531 3.535 7.691 90.00 90.00 90.00
Last column: magnetic moment on the atom in μB.
Atoms (fractional coordinates):
Mn 0.000 0.000 0.066  3.64
Mn 0.500 0.500 0.221  3.52
Pb 0.000 0.000 0.439  -0.06
Sr 0.500 0.500 0.774  -0.03

The final energy comes out at -5.585 eV/atom. The value obtained for the spin magnetization is 1.82 μB/atom. The density of states at the Fermi level is 0.947 states/eV per atom. The space group is P4mm, No. 99.

---

Record 5
This record from Alexandria via LeMat-Bulk describes a geometry-optimized SrMn2Pb structure. The functional is GGA-PBE.

Lattice parameters (Å, degrees): 6.230 6.230 3.252 76.18 76.18 116.80
Last column: magnetic moment on the atom in μB.
Atoms (fractional coordinates):
Mn 0.000 0.000 0.000  3.91
Mn 0.500 0.500 0.000  3.91
Pb 0.500 0.000 0.500  -0.04
Sr 0.000 0.500 0.500  -0.06

The final energy comes out at -5.328 eV/atom. The value obtained for the spin magnetization is 2.00 μB/atom. The density of states at the Fermi level is 0.761 states/eV per atom. The space group is C2/m, No. 12.

---

Record 6
This record from Alexandria via LeMat-Bulk describes a geometry-optimized Sr2Mn2Pb structure. The functional is GGA-PBE.

Lattice parameters (Å, degrees): 7.554 7.554 5.013 90.00 90.00 90.00
Last column: magnetic moment on the atom in μB.
Atoms (fractional coordinates):
Pb 0.000 0.000 0.000  -0.07
Pb 0.500 0.500 0.000  -0.08
Sr 0.176 0.676 0.500  -0.07
Sr 0.676 0.824 0.500  -0.07
Sr 0.824 0.324 0.500  -0.07
Sr 0.324 0.176 0.500  -0.07
Mn 0.375 0.875 0.000  3.73
Mn 0.875 0.625 0.000  3.69
Mn 0.625 0.125 0.000  3.73
Mn 0.125 0.375 0.000  3.69

The final energy comes out at -4.811 eV/atom. The value obtained for the spin magnetization is 1.45 μB/atom. The density of states at the Fermi level is 1.338 states/eV per atom. The space group is P4/mbm, No. 127.

---

Record 7
This record from Alexandria via LeMat-Bulk describes a geometry-optimized SrMn2Pb structure. The functional is GGA-PBE.

Lattice parameters (Å, degrees): 4.838 3.426 6.373 79.31 90.00 90.00
Last column: magnetic moment on the atom in μB.
Atoms (fractional coordinates):
Mn 0.000 0.065 0.063  3.83
Mn 0.000 0.435 0.437  3.83
Pb 0.500 0.250 0.250  -0.08
Sr 0.500 0.750 0.750  -0.02

The final energy comes out at -5.427 eV/atom. The value obtained for the spin magnetization is 1.99 μB/atom. The density of states at the Fermi level is 0.879 states/eV per atom. The space group is P2/m, No. 10.

---

Record 8
This record from Alexandria via LeMat-Bulk describes a geometry-optimized SrMn2Pb structure. The functional is GGA-PBE.

Lattice parameters (Å, degrees): 5.028 5.028 10.269 75.83 75.83 90.00
Last column: magnetic moment on the atom in μB.
Atoms (fractional coordinates):
Pb 0.000 0.000 0.000  -0.09
Pb 0.750 0.250 0.500  -0.09
Sr 0.500 0.500 0.000  -0.02
Sr 0.250 0.750 0.500  -0.02
Mn 0.875 0.125 0.250  3.43
Mn 0.875 0.625 0.250  3.45
Mn 0.375 0.125 0.750  3.58
Mn 0.875 0.125 0.750  3.60

The final energy comes out at -5.384 eV/atom. The value obtained for the spin magnetization is 1.83 μB/atom. The density of states at the Fermi level is 1.352 states/eV per atom. The space group is I4_1/amd, No. 141.

---

Record 9
This record from Alexandria via LeMat-Bulk describes a geometry-optimized SrMnPb4 structure. The functional is GGA-PBE.

Lattice parameters (Å, degrees): 6.513 6.513 6.513 60.00 60.00 60.00
Last column: magnetic moment on the atom in μB.
Atoms (fractional coordinates):
Sr 0.750 0.750 0.750  0.00
Mn 0.000 0.000 0.000  4.34
Pb 0.874 0.375 0.375  -0.01
Pb 0.375 0.375 0.874  -0.01
Pb 0.375 0.874 0.375  -0.01
Pb 0.375 0.375 0.375  -0.01

The final energy comes out at -4.084 eV/atom. The value obtained for the spin magnetization is 0.78 μB/atom. The density of states at the Fermi level is 0.895 states/eV per atom. The space group is F-43m, No. 216.

---

Record 10
This record from Alexandria via LeMat-Bulk describes a geometry-optimized Sr3MnPb structure. The functional is GGA-PBE.

Lattice parameters (Å, degrees): 6.373 6.373 6.373 90.00 90.00 90.00
Last column: magnetic moment on the atom in μB.
Atoms (fractional coordinates):
Pb 0.000 0.000 0.000  0.00
Sr 0.000 0.500 0.000  -0.03
Sr 0.000 0.000 0.500  -0.03
Sr 0.500 0.000 0.000  -0.03
Mn 0.500 0.500 0.500  4.31

The offset from the most stable computed form is 0.00 kJ/mol of atoms. The final energy comes out at -3.185 eV/atom. The value obtained for the spin magnetization is 0.76 μB/atom. The density of states at the Fermi level is 1.563 states/eV per atom. The space group is Pm-3m, No. 221.

---

Record 11
This record from Alexandria via LeMat-Bulk describes a geometry-optimized SrMn2Pb structure. The functional is GGA-PBE.

Lattice parameters (Å, degrees): 4.702 4.702 6.126 67.42 67.42 59.99
Last column: magnetic moment on the atom in μB.
Atoms (fractional coordinates):
Mn 0.051 0.051 0.847  3.42
Mn 0.449 0.449 0.653  3.42
Pb 0.750 0.750 0.750  -0.09
Sr 0.250 0.250 0.250  -0.01

The final energy comes out at -5.565 eV/atom. The value obtained for the spin magnetization is 1.82 μB/atom. The density of states at the Fermi level is 1.453 states/eV per atom. The space group is R-3m, No. 166.

---

Record 12
This record from Alexandria via LeMat-Bulk describes a geometry-optimized SrMnTc2Pb structure. The functional is GGA-PBE.

Lattice parameters (Å, degrees): 4.538 5.396 4.538 90.00 90.00 90.00
Last column: magnetic moment on the atom in μB.
Atoms (fractional coordinates):
Pb 0.500 0.500 0.500  -0.03
Sr 0.000 0.500 0.000  -0.01
Mn 0.000 0.000 0.000  -0.14
Tc 0.000 0.000 0.500  0.35
Tc 0.500 0.000 0.000  0.23

The final energy comes out at -6.086 eV/atom. The value obtained for the spin magnetization is 0.08 μB/atom. The density of states at the Fermi level is 1.203 states/eV per atom. The space group is P4/mmm, No. 123.

---

Record 13
This record from Alexandria via LeMat-Bulk describes a geometry-optimized SrYMn2Pb structure. The functional is GGA-PBE.

Lattice parameters (Å, degrees): 5.016 5.749 5.016 90.00 90.00 90.00
Last column: magnetic moment on the atom in μB.
Atoms (fractional coordinates):
Pb 0.000 0.000 0.000  -0.01
Y 0.500 0.500 0.500  -0.16
Mn 0.000 0.000 0.500  0.29
Mn 0.500 0.000 0.000  0.13
Sr 0.000 0.500 0.000  -0.03

The final energy comes out at -4.547 eV/atom. The value obtained for the spin magnetization is 0.00 μB/atom. The density of states at the Fermi level is 2.153 states/eV per atom. The space group is P4/mmm, No. 123.

---

Record 14
This record from Alexandria via LeMat-Bulk describes a geometry-optimized TaMnPb structure. The functional is GGA-PBE.

Lattice parameters (Å, degrees): 4.401 4.401 4.401 60.00 60.00 60.00
Last column: magnetic moment on the atom in μB.
Atoms (fractional coordinates):
Mn 0.750 0.750 0.750  2.24
Pb 0.000 0.000 0.000  0.03
Ta 0.500 0.500 0.500  -0.50

The offset from the most stable computed form is 9.20 kJ/mol of atoms. The final energy comes out at -7.726 eV/atom. The value obtained for the spin magnetization is 0.61 μB/atom. The density of states at the Fermi level is 1.332 states/eV per atom. The space group is F-43m, No. 216.

---

Record 15
This record from Alexandria via LeMat-Bulk describes a geometry-optimized TaMnPb2 structure. The functional is GGA-PBE.

Lattice parameters (Å, degrees): 5.814 5.814 5.274 72.41 72.41 30.91
Last column: magnetic moment on the atom in μB.
Atoms (fractional coordinates):
Mn 0.221 0.221 0.221  3.44
Pb 0.982 0.982 0.062  -0.01
Pb 0.768 0.768 0.687  -0.02
Ta 0.529 0.529 0.530  -0.22

The offset from the most stable computed form is 22.65 kJ/mol of atoms. The final energy comes out at -6.595 eV/atom. The value obtained for the spin magnetization is 0.82 μB/atom. The density of states at the Fermi level is 0.751 states/eV per atom. The space group is Cm, No. 8.

---

Record 16
This record from Alexandria via LeMat-Bulk describes a geometry-optimized TaMnPb2 structure. The functional is GGA-PBE.

Lattice parameters (Å, degrees): 4.546 4.892 3.809 90.00 90.00 90.00
Last column: magnetic moment on the atom in μB.
Atoms (fractional coordinates):
Mn 0.000 0.500 0.500  3.55
Pb 0.000 0.000 0.000  -0.02
Pb 0.500 0.500 0.000  -0.04
Ta 0.500 0.000 0.500  -0.26

The offset from the most stable computed form is 36.21 kJ/mol of atoms. The final energy comes out at -6.454 eV/atom. The value obtained for the spin magnetization is 0.81 μB/atom. The density of states at the Fermi level is 0.695 states/eV per atom. The space group is Pmmm, No. 47.

---

Record 17
This record from Alexandria via LeMat-Bulk describes a geometry-optimized TaMnPb2 structure. The functional is GGA-PBE.

Lattice parameters (Å, degrees): 4.820 4.820 4.820 60.00 60.00 60.00
Atoms (fractional coordinates):
Pb 0.250 0.250 0.250
Pb 0.750 0.750 0.750
Mn 0.000 0.000 0.000
Ta 0.500 0.500 0.500

The offset from the most stable computed form is 68.76 kJ/mol of atoms. The final energy comes out at -6.117 eV/atom. The value obtained for the spin magnetization is 0.00 μB/atom. The density of states at the Fermi level is 2.326 states/eV per atom. The space group is Fm-3m, No. 225.

---

Record 18
This record from Alexandria via LeMat-Bulk describes a geometry-optimized TaMnPb2 structure. The functional is GGA-PBE.

Lattice parameters (Å, degrees): 6.174 6.174 6.174 149.71 131.87 57.93
Last column: magnetic moment on the atom in μB.
Atoms (fractional coordinates):
Mn 0.274 0.774 0.500  3.10
Pb 0.024 0.024 0.000  0.01
Pb 0.740 0.240 0.500  0.00
Ta 0.462 0.462 0.000  -0.40

The offset from the most stable computed form is 25.98 kJ/mol of atoms. The final energy comes out at -6.560 eV/atom. The value obtained for the spin magnetization is 0.71 μB/atom. The density of states at the Fermi level is 0.666 states/eV per atom. The space group is Imm2, No. 44.

---

Record 19
This record from Alexandria via LeMat-Bulk describes a geometry-optimized TaMnPb structure. The functional is GGA-PBE.

Lattice parameters (Å, degrees): 6.982 6.807 3.049 80.44 74.04 25.51
Last column: magnetic moment on the atom in μB.
Atoms (fractional coordinates):
Mn 0.989 0.989 0.011  3.07
Pb 0.663 0.663 0.337  -0.01
Ta 0.348 0.348 0.652  -0.19

The offset from the most stable computed form is 7.85 kJ/mol of atoms. The final energy comes out at -7.740 eV/atom. The value obtained for the spin magnetization is 0.99 μB/atom. The density of states at the Fermi level is 1.050 states/eV per atom. The space group is Fmm2, No. 42.

---

Record 20
This record from Alexandria via LeMat-Bulk describes a geometry-optimized TaMnPb2 structure. The functional is GGA-PBE.

Lattice parameters (Å, degrees): 5.013 5.013 5.013 60.00 60.00 60.00
Last column: magnetic moment on the atom in μB.
Atoms (fractional coordinates):
Mn 0.500 0.500 0.500  3.24
Pb 0.000 0.000 0.000  -0.04
Pb 0.250 0.250 0.250  -0.04
Ta 0.750 0.750 0.750  -1.27

The offset from the most stable computed form is 56.27 kJ/mol of atoms. The final energy comes out at -6.246 eV/atom. The value obtained for the spin magnetization is 0.33 μB/atom. The density of states at the Fermi level is 1.399 states/eV per atom. The space group is F-43m, No. 216.